Record 1
This record from Alexandria via LeMat-Bulk describes a crystal of Sr2CaAu relaxed with PBEsol. The functional is meta-GGA SCAN.

```
4
Lattice="-3.433 -1.985 -1.134 1.038 -3.457 2.911 -4.555 5.397 4.340" Properties=species:S:1:pos:R:3 pbc="T T T"
Sr -2.913 1.391 6.384
Sr -3.850 0.947 2.498
Ca -1.866 -2.114 1.848
Au -1.285 -0.088 4.046
```

Properties
VASP energy (eV per atom): -31.3137
V (Å³/atom): 38.045
Size of the total moment (μB/f.u.): 0.1
Fermi-level density of states (states/eV/f.u.): 2.45
Formation enthalpy at 0 K (eV/atom): -0.47
Symmetry: Amm2, No. 38
Energy above the lowest structure with this stoichiometry (meV per atom): 4

=====

Record 2
This record from Alexandria via LeMat-Bulk describes a crystal of Zn2OsRu relaxed with PBEsol. The functional is meta-GGA SCAN.

```
4
Lattice="-0.109 2.303 1.885 -1.867 -1.522 1.751 4.648 -2.242 3.008" Properties=species:S:1:pos:R:3 pbc="T T T"
Os -0.988 0.391 1.818
Ru 1.336 -0.731 3.322
Zn 3.470 -1.674 2.246
Zn 1.177 -0.568 0.762
```

Properties
VASP energy (eV per atom): -33.1182
V (Å³/atom): 13.244
Size of the total moment (μB/f.u.): 2.0
Fermi-level density of states (states/eV/f.u.): 2.94
Formation enthalpy at 0 K (eV/atom): 0.32
Symmetry: P4/mmm, No. 123
Energy above the lowest structure with this stoichiometry (meV per atom): 185

=====

Record 3
This record from Alexandria via LeMat-Bulk describes a crystal of CoTc2AgN relaxed with PBEsol. The functional is meta-GGA SCAN.

```
5
Lattice="3.594 0.000 0.000 0.000 4.923 0.000 0.000 0.000 4.923" Properties=species:S:1:pos:R:3 pbc="T T T"
Co 1.797 2.461 2.461
Tc 0.000 0.000 2.461
Tc 0.000 2.461 0.000
Ag 0.000 0.000 0.000
N 1.797 0.000 0.000
```

Properties
E_form (uncorrected) (eV per formula unit): 12.32
VASP energy (eV per atom): -23.1526
V (Å³/atom): 17.418
Size of the total moment (μB/f.u.): 9.0
Fermi-level density of states (states/eV/f.u.): 3.62
Symmetry: P4/mmm, No. 123

=====

Record 4
This record from Alexandria via LeMat-Bulk describes a crystal of Sr2AlV11O22 relaxed with PBEsol. The functional is meta-GGA SCAN.

```
36
Lattice="5.704 0.000 0.000 -2.852 4.940 0.000 0.000 0.000 13.045" Properties=species:S:1:pos:R:3 pbc="T T T"
Sr 0.000 3.294 6.523
Sr 2.852 1.647 0.000
Al 0.000 3.294 0.000
V 0.000 0.000 5.182
V 0.000 0.000 1.307
V 0.000 0.000 11.738
V 0.000 0.000 7.863
V 1.459 2.451 9.776
V 2.852 0.038 9.776
V 4.245 2.451 9.776
V 1.459 2.451 3.269
V 2.852 0.038 3.269
V 4.245 2.451 3.269
V 2.852 1.647 6.523
O 0.000 3.294 10.896
O 2.852 1.647 8.578
O 2.852 1.647 4.467
O 0.000 3.294 2.149
O -1.377 4.088 8.719
O 0.000 1.703 8.720
O 1.377 4.088 8.719
O 4.253 0.838 10.851
O 2.852 3.264 10.852
O 1.452 0.838 10.851
O 4.253 0.838 2.194
O 2.852 3.264 2.194
O 1.452 0.838 2.194
O -1.377 4.088 4.326
O 0.000 1.703 4.325
O 1.377 4.088 4.326
O 4.413 0.746 6.523
O 2.852 3.449 6.523
O 1.291 0.746 6.523
O -1.521 4.172 0.000
O 0.000 1.537 0.000
O 1.521 4.172 0.000
```

Properties
E_form (uncorrected) (eV per formula unit): -101.78
VASP energy (eV per atom): -13.4317
V (Å³/atom): 10.212
Size of the total moment (μB/f.u.): 18.0
Fermi-level density of states (states/eV/f.u.): 14.03
Symmetry: P-6m2, No. 187

=====

Record 5
This record from Alexandria via LeMat-Bulk describes a crystal of KFe3Se relaxed with PBEsol. The functional is meta-GGA SCAN.

```
5
Lattice="-3.177 -3.228 0.035 0.390 -0.335 4.500 -3.205 3.159 0.513" Properties=species:S:1:pos:R:3 pbc="T T T"
K -2.996 -0.202 2.524
Fe 0.195 -0.167 2.250
Fe -1.602 1.580 0.256
Fe -1.588 -1.614 0.018
Se 0.000 0.000 0.000
```

Properties
E_form (uncorrected) (eV per formula unit): 3.74
VASP energy (eV per atom): -15.8110
V (Å³/atom): 18.586
Size of the total moment (μB/f.u.): 7.0
Fermi-level density of states (states/eV/f.u.): 5.08
Symmetry: Pm-3m, No. 221

=====

Record 6
This record from Alexandria via LeMat-Bulk describes a crystal of LaAl2Ag3 relaxed with PBEsol. The functional is meta-GGA SCAN.

```
6
Lattice="-1.377 1.620 -3.924 4.514 -1.884 -2.362 0.021 -5.121 -2.122" Properties=species:S:1:pos:R:3 pbc="T T T"
Al -0.678 -1.750 -3.023
Al 1.579 -2.692 -4.204
Ag 3.067 -4.589 -2.971
Ag 1.468 -2.416 -1.513
Ag 1.569 -0.132 -3.143
La 0.000 0.000 0.000
```

Properties
VASP energy (eV per atom): -25.8747
V (Å³/atom): 19.526
Size of the total moment (μB/f.u.): 0.0
Fermi-level density of states (states/eV/f.u.): 2.89
Formation enthalpy at 0 K (eV/atom): -0.42
Symmetry: Cmmm, No. 65